Entry 1:
Here is Sm4PSeS2 after structural relaxation from the Alexandria database. Energies are from GGA-PBE.

Output
Uncorrected formation energy   -1.903 eV/atom
SG   P2/m

Unit cell a=4.0624 b=7.0217 c=7.1263 alpha=70.80 beta=90.00 gamma=90.00
Closest atoms and distances in Å follow each position.
Element x y z (fractional)
Sm  0.0000  0.7482  0.7633  3 S 2.82-2.93, 2 P 2.84, 1 Se 2.95
Sm  0.0000  0.2518  0.2367  3 S 2.82-2.93, 2 P 2.84, 1 Se 2.95
Sm  0.5000  0.7580  0.2328  3 S 2.81-2.94, 1 P 2.83, 2 Se 2.96
Sm  0.5000  0.2420  0.7672  3 S 2.81-2.94, 1 P 2.83, 2 Se 2.96
P  0.5000  0.5000  0.0000  6 Sm 2.83-2.84
Se  0.0000  0.5000  0.5000  6 Sm 2.95-2.96
S  0.0000  0.0000  0.0000  6 Sm 2.81-2.82
S  0.5000  0.0000  0.5000  6 Sm 2.93-2.94

=====

Entry 2:
Here is LaScP4 after structural relaxation from the Alexandria database. Energies are from GGA-PBE.

Output
Raw total energy   -5.7456 eV per atom
SG   F-43m

Unit cell a=5.3581 b=5.3581 c=5.3581 alpha=60.00 beta=60.00 gamma=60.00
Closest atoms and distances in Å follow each position.
Element x y z (fractional)
La  0.0000  0.0000  0.0000  12 P 3.16, 4 Sc 3.28
Sc  0.7500  0.7500  0.7500  12 P 3.13, 4 La 3.28
P  0.8561  0.3813  0.3813  6 P 2.54-2.81
P  0.3813  0.3813  0.8561  6 P 2.54-2.81
P  0.3813  0.8561  0.3813  6 P 2.54-2.81
P  0.3813  0.3813  0.3813  6 P 2.54-2.81